(1)
{
  "formula": "CePrPb2",
  "functional": "PBE-GGA",
  "state": "optimized geometry",
  "dft_energy_ev_per_atom": -4.99,
  "space_group": "P4/mmm",
  "formation_enthalpy_0k_ev_per_atom": -0.458,
  "lattice": [[5.145, 0.000, 0.000], [0.000, 5.145, 0.000], [0.000, 0.000, 4.582]],
  "species": ["Ce", "Pr", "Pb", "Pb"],
  "frac_coords": [[0.000, 0.000, 0.000], [0.500, 0.500, 0.000], [0.000, 0.500, 0.500], [0.500, 0.000, 0.500]]
}

---

(2)
{
  "formula": "SmDy2Sc2",
  "functional": "PBE-GGA",
  "state": "optimized geometry",
  "dft_energy_ev_per_atom": -5.03,
  "space_group": "C2/m",
  "formation_enthalpy_0k_ev_per_atom": 0.290,
  "relative_energy_kcal_per_mol_atoms": 3.05,
  "lattice": [[4.848, -3.335, 0.000], [4.848, 3.335, 0.000], [-1.966, 0.000, 4.773]],
  "species": ["Sm", "Dy", "Dy", "Sc", "Sc"],
  "frac_coords": [[0.000, 0.000, 0.000], [0.385, 0.385, 0.134], [0.615, 0.615, 0.866], [0.000, 0.500, 0.500], [0.500, 0.000, 0.500]]
}

---

(3)
{
  "formula": "K3Tm2PdO6",
  "functional": "PBE-GGA",
  "state": "optimized geometry",
  "dft_energy_ev_per_atom": -6.03,
  "raw_formation_energy_mev_per_atom": -2099,
  "space_group": "C2/m",
  "lattice": [[2.891, -5.087, 0.000], [2.891, 5.087, 0.000], [-1.845, 0.000, 6.206]],
  "species": ["K", "K", "K", "Tm", "Tm", "Pd", "O", "O", "O", "O", "O", "O"],
  "frac_coords": [[0.000, 0.000, 0.000], [0.340, 0.660, 0.000], [0.660, 0.340, 0.000], [0.170, 0.830, 0.500], [0.830, 0.170, 0.500], [0.500, 0.500, 0.500], [0.094, 0.436, 0.306], [0.241, 0.241, 0.673], [0.436, 0.094, 0.306], [0.564, 0.906, 0.694], [0.759, 0.759, 0.327], [0.906, 0.564, 0.694]]
}

---

(4)
{
  "formula": "ZnSnSb3Pb",
  "functional": "PBE-GGA",
  "state": "optimized geometry",
  "dft_energy_ev_per_atom": -3.47,
  "raw_formation_energy_mev_per_atom": 84,
  "space_group": "P2_1/m",
  "lattice": [[8.938, 0.000, 0.000], [0.000, 4.287, 0.000], [-3.705, 0.000, 9.063]],
  "species": ["Zn", "Zn", "Sn", "Sn", "Sb", "Sb", "Sb", "Sb", "Sb", "Sb", "Pb", "Pb"],
  "frac_coords": [[0.097, 0.250, 0.073], [0.903, 0.750, 0.927], [0.317, 0.750, 0.396], [0.683, 0.250, 0.604], [0.052, 0.250, 0.340], [0.243, 0.750, 0.994], [0.484, 0.250, 0.271], [0.516, 0.750, 0.729], [0.757, 0.250, 0.006], [0.948, 0.750, 0.660], [0.232, 0.250, 0.711], [0.768, 0.750, 0.289]]
}

---

(5)
{
  "formula": "SiSbI2",
  "functional": "PBE-GGA",
  "state": "optimized geometry",
  "dft_energy_ev_per_atom": -2.50,
  "raw_formation_energy_mev_per_atom": 661,
  "space_group": "Fm-3m",
  "relative_energy_kcal_per_mol_atoms": 6.83,
  "lattice": [[0.000, 3.842, 3.842], [3.842, 0.000, 3.842], [3.842, 3.842, 0.000]],
  "species": ["Si", "Sb", "I", "I"],
  "frac_coords": [[0.000, 0.000, 0.000], [0.500, 0.500, 0.500], [0.250, 0.250, 0.250], [0.750, 0.750, 0.750]]
}

---

(6)
{
  "formula": "YINF2",
  "functional": "PBE-GGA",
  "state": "optimized geometry",
  "dft_energy_ev_per_atom": -4.24,
  "raw_formation_energy_mev_per_atom": -222,
  "space_group": "P4/mmm",
  "relative_energy_kcal_per_mol_atoms": 32.28,
  "lattice": [[4.910, 0.000, 0.000], [0.000, 4.910, 0.000], [0.000, 0.000, 4.098]],
  "species": ["Y", "I", "N", "F", "F"],
  "frac_coords": [[0.000, 0.000, 0.000], [0.500, 0.500, 0.500], [0.500, 0.500, 0.000], [0.000, 0.500, 0.500], [0.500, 0.000, 0.500]]
}

---

(7)
{
  "formula": "Na2AcSiTe4",
  "functional": "PBE-GGA",
  "state": "optimized geometry",
  "dft_energy_ev_per_atom": -3.83,
  "raw_formation_energy_mev_per_atom": -737,
  "space_group": "Imma",
  "lattice": [[-4.270, 4.769, 6.443], [4.270, -4.769, 6.443], [4.270, 4.769, -6.443]],
  "species": ["Na", "Na", "Na", "Na", "Ac", "Ac", "Si", "Si", "Te", "Te", "Te", "Te", "Te", "Te", "Te", "Te"],
  "frac_coords": [[0.000, 0.000, 0.000], [0.500, 0.000, 0.000], [0.500, 0.000, 0.500], [0.500, 0.500, 0.500], [0.000, 0.500, 0.500], [0.500, 0.500, 0.000], [0.000, 0.000, 0.500], [0.000, 0.500, 0.000], [0.202, 0.245, 0.957], [0.212, 0.755, 0.457], [0.233, 0.222, 0.490], [0.233, 0.743, 0.010], [0.767, 0.257, 0.990], [0.767, 0.778, 0.510], [0.788, 0.245, 0.543], [0.798, 0.755, 0.043]]
}

---

(8)
{
  "formula": "SrY2SnOs",
  "functional": "PBE-GGA",
  "state": "optimized geometry",
  "dft_energy_ev_per_atom": -6.09,
  "space_group": "P4/mmm",
  "formation_enthalpy_0k_ev_per_atom": -0.118,
  "lattice": [[5.442, 0.000, 0.000], [0.000, 5.442, 0.000], [0.000, 0.000, 5.272]],
  "species": ["Sr", "Y", "Y", "Sn", "Os"],
  "frac_coords": [[0.000, 0.000, 0.000], [0.000, 0.500, 0.500], [0.500, 0.000, 0.500], [0.500, 0.500, 0.000], [0.500, 0.500, 0.500]]
}